# 1
Computed, not measured: a relaxed structure of Ce2Si3Ir2 at the GGA-PBE level of DFT.

The crystal system is monoclinic. Its polymorph energy (0 for the lowest one) is 8.5 kJ per mole of atoms.

The structure belongs to space group C2/m (No. 12); the cell edges are 10.517, 4.109 and 6.819 Å and the angles 90.00°, 118.73° and 90.00°. The inequivalent atoms are Ce at (0.141, 0.000, 0.266), Si at (0.000, 0.500, 0.500), Si at (0.132, 0.500, 0.928) and Ir at (0.138, 0.000, 0.718).

# 2
Computed, not measured: a relaxed structure of CeSiIr2 at the GGA-PBE level of DFT.

The crystal system is trigonal.

The structure belongs to space group R-3m (No. 166, hexagonal axes); the cell edges are 4.1097, 4.1097 and 15.2993 Å and the angles 90.00°, 90.00° and 120.00°. The inequivalent atoms are Ce at (0.0000, 0.0000, 0.0000), Si at (0.0000, 0.0000, 0.5000) and Ir at (0.0000, 0.0000, 0.2135).

# 3
Computed, not measured: a relaxed structure of CeSi6Ir3 at the GGA-PBE level of DFT.

The crystal system is monoclinic.

The structure belongs to space group P2_1/m (No. 11); the cell edges are 8.643, 4.183 and 8.958 Å and the angles 90.00°, 90.36° and 90.00°. The inequivalent atoms are Ce at (0.054, 0.250, 0.301), Si at (0.096, 0.750, 0.033), Si at (0.180, 0.250, 0.621), Si at (0.288, 0.750, 0.247), Si at (0.312, 0.750, 0.790), Si at (0.430, 0.250, 0.435), Si at (0.465, 0.250, 0.904), Ir at (0.185, 0.250, 0.900), Ir at (0.289, 0.750, 0.519) and Ir at (0.405, 0.250, 0.165).

ΔE_f (raw) (meV/atom)
-776, -746, -665